(1)
Compound: TaAuCl
Source: Alexandria via LeMat-Bulk
Functional: PBE
Structure: optimized geometry

Unit cell a=4.331 b=4.331 c=4.331 alpha=60.00 beta=60.00 gamma=60.00
Positions (direct):
Ta (0.000, 0.000, 0.000)
Au (0.500, 0.500, 0.500)
Cl (0.750, 0.750, 0.750)

Computed properties:
- Magnetization: 0.00 μB per cell
- Polymorph energy (0 for the lowest one): 1.222 eV/atom
- DFT total energy: -4.69 eV/atom



(2)
Compound: TaAuCl
Source: Alexandria via LeMat-Bulk
Functional: PBE
Structure: optimized geometry

Unit cell a=3.070 b=3.070 c=7.602 alpha=90.00 beta=90.00 gamma=120.00
Positions (direct):
Au (0.000, 0.000, 0.942)
Ta (0.333, 0.667, 0.647)
Cl (0.667, 0.333, 0.411)

Computed properties:
- Magnetization: 0.00 μB per cell
- Polymorph energy (0 for the lowest one): 0.000 eV/atom
- DFT total energy: -5.92 eV/atom



(3)
Compound: TaAuCl
Source: Alexandria via LeMat-Bulk
Functional: PBE
Structure: optimized geometry

Unit cell a=8.108 b=7.847 c=3.019 alpha=84.00 beta=74.27 gamma=21.73
Positions (direct):
Cl (0.302, 0.302, 0.698)
Ta (0.674, 0.674, 0.326)
Au (0.024, 0.024, 0.976)

Computed properties:
- Magnetization: 0.00 μB per cell
- Polymorph energy (0 for the lowest one): 0.229 eV/atom
- DFT total energy: -5.69 eV/atom



(4)
Compound: TaAu2Cl
Source: Alexandria via LeMat-Bulk
Functional: PBE
Structure: optimized geometry

Unit cell a=8.675 b=8.675 c=6.591 alpha=48.85 beta=48.85 gamma=90.00
Positions (direct):
Au (0.875, 0.954, 0.750)
Cl (0.500, 0.500, 0.000)
Ta (0.750, 0.250, 0.500)
Ta (0.000, 0.000, 0.000)
Au (0.375, 0.296, 0.750)
Au (0.046, 0.625, 0.250)
Au (0.704, 0.125, 0.250)
Cl (0.250, 0.750, 0.500)

Computed properties:
- Magnetization: 1.35 μB per cell
- Polymorph energy (0 for the lowest one): 0.509 eV/atom
- DFT total energy: -4.77 eV/atom